(1)
Computed, not measured: Ca4Ga2H after structural relaxation at the PBE level of DFT.

a b c (Å): 4.3199 6.0902 7.3595
angles (deg): 97.31 107.07 90.00
Last column: nearest neighbours and their distance in Å.
Atoms (fractional coordinates):
Ca1 0.1498 0.8362 0.2996  1 H 2.45
Ca2 0.8502 0.1638 0.7004  1 H 2.45
Ca3 0.4212 0.7254 0.8425  2 H 2.86, 3 Ga 3.09-3.16
Ca4 0.5788 0.2746 0.1575  2 H 2.86, 3 Ga 3.09-3.16
Ga1 0.2362 0.3679 0.4725  2 Ga 2.69
Ga2 0.7638 0.6321 0.5275  2 Ga 2.69
H1 0.0000 0.0000 0.0000  2 Ca 2.45

Values from the calculation:
SG: C2/m, No. 12


(2)
Computed, not measured: TlI3O9 after structural relaxation at the PBE level of DFT.

a b c (Å): 7.6600 7.6600 7.6600
angles (deg): 81.69 81.69 81.69
Last column: nearest neighbours and their distance in Å.
Atoms (fractional coordinates):
Tl1 0.1796 0.1796 0.1796  6 O 2.28-2.29
Tl2 0.8204 0.8204 0.8204  6 O 2.28-2.29
I1 0.7172 0.1307 0.4195  3 O 1.84-1.86
I2 0.4195 0.7172 0.1307  3 O 1.84-1.86
I3 0.1307 0.4195 0.7172  3 O 1.84-1.86
I4 0.2828 0.8693 0.5805  3 O 1.84-1.86
I5 0.5805 0.2828 0.8693  3 O 1.84-1.86
I6 0.8693 0.5805 0.2828  3 O 1.84-1.86
O1 0.7798 0.2605 0.5792  1 I 1.84
O2 0.5792 0.7798 0.2605  1 I 1.84
O3 0.2605 0.5792 0.7798  1 I 1.84
O4 0.2202 0.7395 0.4208  1 I 1.84
O5 0.4208 0.2202 0.7395  1 I 1.84
O6 0.7395 0.4208 0.2202  1 I 1.84
O7 0.6883 0.9189 0.5679  1 I 1.86
O8 0.5679 0.6883 0.9189  1 I 1.86
O9 0.9189 0.5679 0.6883  1 I 1.86
O10 0.3117 0.0811 0.4321  1 I 1.86
O11 0.4321 0.3117 0.0811  1 I 1.86
O12 0.0811 0.4321 0.3117  1 I 1.86
O13 0.9331 0.0489 0.3015  1 I 1.84
O14 0.3015 0.9331 0.0489  1 I 1.84
O15 0.0489 0.3015 0.9331  1 I 1.84
O16 0.0669 0.9511 0.6985  1 I 1.84
O17 0.6985 0.0669 0.9511  1 I 1.84
O18 0.9511 0.6985 0.0669  1 I 1.84

Values from the calculation:
SG: R-3, No. 148
ΔE_f (raw) in eV/f.u.: -4.616


(3)
Computed, not measured: AgRhI2 after structural relaxation at the PBE level of DFT.

a b c (Å): 5.1691 5.1691 5.1691
angles (deg): 60.00 60.00 60.00
Last column: nearest neighbours and their distance in Å.
Atoms (fractional coordinates):
I1 0.2500 0.2500 0.2500  4 Ag 3.17, 4 Rh 3.17
I2 0.7500 0.7500 0.7500  4 Ag 3.17, 4 Rh 3.17
Rh1 0.0000 0.0000 0.0000  8 I 3.17
Ag1 0.5000 0.5000 0.5000  8 I 3.17

Values from the calculation:
SG: Fm-3m, No. 225
ΔE_f (raw) in eV/f.u.: 2.182


(4)
Computed, not measured: Ta2TiPb2 after structural relaxation at the PBE level of DFT.

a b c (Å): 3.9416 3.9416 7.7531
angles (deg): 75.27 75.27 90.00
Last column: nearest neighbours and their distance in Å.
Atoms (fractional coordinates):
Pb1 0.4009 0.4009 0.1983  1 Pb 2.87, 4 Ta 2.94, 4 Ti 3.13
Pb2 0.5991 0.5991 0.8017  1 Pb 2.87, 4 Ta 2.94, 4 Ti 3.13
Ti1 0.0000 0.0000 0.0000  8 Pb 3.13
Ta1 0.7500 0.2500 0.5000  4 Ta 2.79, 4 Pb 2.94
Ta2 0.2500 0.7500 0.5000  4 Ta 2.79, 4 Pb 2.94

Values from the calculation:
SG: I4/mmm, No. 139
Formation enthalpy at 0 K in eV per atom: 0.66


These records have DOS at the Fermi energy values of 0.727 0.000 0.306 0.538 states/eV/atom, in the order they appear.
These records have energy values of -19.72 -112.51 -11.12 -35.71 eV per cell, in the order they appear.